1.
Here is MnCrSe after structural relaxation from the Alexandria database. Energies are from PBE-GGA.

```
data_MnCrSe
_symmetry_space_group_name_H-M 'F -4 3 m'
_symmetry_Int_Tables_number 216
_symmetry_space_group_name_Hall 'F -4 2 3'
_cell_length_a 5.607
_cell_length_b 5.607
_cell_length_c 5.607
_cell_angle_alpha 90.00
_cell_angle_beta 90.00
_cell_angle_gamma 90.00
loop_
_atom_site_label
_atom_site_type_symbol
_atom_site_fract_x
_atom_site_fract_y
_atom_site_fract_z
Mn1 Mn 0.000 0.000 0.000
Cr1 Cr 0.250 0.250 0.250
Se1 Se 0.250 0.250 0.750
```

Output
As for the total energy: -7.4040 eV/atom. The size of the total moment is 4.00 μB per cell. The relative energy among the computed polymorphs comes out at 0.000 eV per atom. For the raw formation energy, the calculation gives 0.1 eV per formula unit. The value obtained for the density is 7.0 g cm⁻³.


2.
Here is La2TmMgTe5 after structural relaxation from the Alexandria database. Energies are from PBE-GGA.

```
data_La2TmMgTe5
_symmetry_space_group_name_H-M 'C m c 21'
_symmetry_Int_Tables_number 36
_cell_length_a 4.404
_cell_length_b 19.134
_cell_length_c 13.566
_cell_angle_alpha 90.00
_cell_angle_beta 90.00
_cell_angle_gamma 90.00
loop_
_symmetry_equiv_pos_as_xyz
'x,y,z'
'-x,-y,z+1/2'
'-x,y,z'
'x,-y,z+1/2'
'x+1/2,y+1/2,z'
'-x+1/2,-y+1/2,z+1/2'
'-x+1/2,y+1/2,z'
'x+1/2,-y+1/2,z+1/2'
loop_
_atom_site_label
_atom_site_type_symbol
_atom_site_fract_x
_atom_site_fract_y
_atom_site_fract_z
La1 La 0.000 0.113 0.000
La2 La 0.000 0.132 0.624
Tm1 Tm 0.000 0.204 0.331
Mg1 Mg 0.000 0.444 0.771
Te1 Te 0.000 0.050 0.388
Te2 Te 0.000 0.285 0.986
Te3 Te 0.000 0.309 0.671
Te4 Te 0.000 0.362 0.317
Te5 Te 0.000 0.496 0.091
```

Output
As for the total energy: -4.8536 eV/atom. The size of the total moment is 0.00 μB per cell. For the raw formation energy, the calculation gives -12.1 eV per formula unit. The value obtained for the density is 6.4 g cm⁻³.


3.
Here is Zr2SbAsSe after structural relaxation from the Alexandria database. Energies are from PBE-GGA.

```
data_Zr2SbAsSe
_symmetry_space_group_name_H-M 'P 4/m m m'
_symmetry_Int_Tables_number 123
_symmetry_space_group_name_Hall '-P 4 2'
_cell_length_a 5.420
_cell_length_b 5.420
_cell_length_c 4.988
_cell_angle_alpha 90.00
_cell_angle_beta 90.00
_cell_angle_gamma 90.00
loop_
_atom_site_label
_atom_site_type_symbol
_atom_site_fract_x
_atom_site_fract_y
_atom_site_fract_z
Zr1 Zr 0.000 0.500 0.000
Sb1 Sb 0.000 0.000 0.000
As1 As 0.000 0.000 0.500
Se1 Se 0.500 0.500 0.500
```

Output
As for the total energy: -5.1723 eV/atom. The size of the total moment is 0.00 μB per cell. For the raw formation energy, the calculation gives 3.5 eV per formula unit. The value obtained for the density is 5.2 g cm⁻³.


4.
Here is GaNiHgC after structural relaxation from the Alexandria database. Energies are from PBE-GGA.

```
data_GaNiHgC
_symmetry_space_group_name_H-M 'C 1 m 1'
_symmetry_Int_Tables_number 8
_cell_length_a 11.221
_cell_length_b 3.577
_cell_length_c 3.650
_cell_angle_alpha 90.00
_cell_angle_beta 103.70
_cell_angle_gamma 90.00
loop_
_symmetry_equiv_pos_as_xyz
'x,y,z'
'x,-y,z'
'x+1/2,y+1/2,z'
'x+1/2,-y+1/2,z'
loop_
_atom_site_label
_atom_site_type_symbol
_atom_site_fract_x
_atom_site_fract_y
_atom_site_fract_z
Ga1 Ga 0.000 0.000 0.000
Ni1 Ni 0.082 0.500 0.561
Hg1 Hg 0.305 0.500 0.356
C1 C 0.089 0.500 0.066
```

Output
As for the total energy: -4.0784 eV/atom. Its formation energy is 0.51 eV per atom. The size of the total moment is 0.00 μB per cell. The relative energy among the computed polymorphs comes out at 0.048 eV per atom. The value obtained for the density is 8.0 g cm⁻³.


5.
Here is TaTc2Ag after structural relaxation from the Alexandria database. Energies are from PBE-GGA.

```
data_TaTc2Ag
_symmetry_space_group_name_H-M 'I -4 m 2'
_symmetry_Int_Tables_number 119
_symmetry_space_group_name_Hall 'I -4 -2'
_cell_length_a 3.994
_cell_length_b 3.994
_cell_length_c 7.978
_cell_angle_alpha 90.00
_cell_angle_beta 90.00
_cell_angle_gamma 90.00
loop_
_atom_site_label
_atom_site_type_symbol
_atom_site_fract_x
_atom_site_fract_y
_atom_site_fract_z
Ta1 Ta 0.000 0.000 0.000
Tc1 Tc 0.000 0.000 0.500
Tc2 Tc 0.000 0.500 0.750
Ag1 Ag 0.000 0.500 0.250
```

Output
As for the total energy: -8.6216 eV/atom. Its formation energy is 0.24 eV per atom. The size of the total moment is 0.00 μB per cell. The relative energy among the computed polymorphs comes out at 0.062 eV per atom. The value obtained for the density is 12.6 g cm⁻³.


6.
Here is Tb2Ho6In after structural relaxation from the Alexandria database. Energies are from PBE-GGA.

```
data_Tb2Ho6In
_symmetry_space_group_name_H-M 'P -1'
_symmetry_Int_Tables_number 2
_cell_length_a 6.503
_cell_length_b 9.009
_cell_length_c 10.057
_cell_angle_alpha 103.97
_cell_angle_beta 99.08
_cell_angle_gamma 100.32
loop_
_symmetry_equiv_pos_as_xyz
'x,y,z'
'-x,-y,-z'
loop_
_atom_site_label
_atom_site_type_symbol
_atom_site_fract_x
_atom_site_fract_y
_atom_site_fract_z
Tb1 Tb 0.066 0.258 0.448
Tb2 Tb 0.354 0.018 0.613
Ho1 Ho 0.081 0.864 0.258
Ho2 Ho 0.187 0.521 0.753
Ho3 Ho 0.207 0.922 0.914
Ho4 Ho 0.369 0.615 0.415
Ho5 Ho 0.378 0.214 0.224
Ho6 Ho 0.479 0.695 0.088
In1 In 0.119 0.385 0.044
```

Output
As for the total energy: -4.4423 eV/atom. Its formation energy is -0.06 eV per atom. The size of the total moment is 0.00 μB per cell. The relative energy among the computed polymorphs comes out at 0.000 eV per atom. The value obtained for the density is 8.6 g cm⁻³.


7.
Here is Na2BO3 after structural relaxation from the Alexandria database. Energies are from PBE-GGA.

```
data_Na2BO3
_symmetry_space_group_name_H-M 'C m c m'
_symmetry_Int_Tables_number 63
_symmetry_space_group_name_Hall '-C 2c 2'
_cell_length_a 8.886
_cell_length_b 5.129
_cell_length_c 6.238
_cell_angle_alpha 90.00
_cell_angle_beta 90.00
_cell_angle_gamma 90.00
loop_
_atom_site_label
_atom_site_type_symbol
_atom_site_fract_x
_atom_site_fract_y
_atom_site_fract_z
Na1 Na 0.167 0.000 0.000
B1 B 0.000 0.499 0.250
O1 O 0.000 0.231 0.250
O2 O 0.134 0.367 0.750
```

Output
As for the total energy: -5.8725 eV/atom. The size of the total moment is 4.15 μB per cell. The relative energy among the computed polymorphs comes out at 0.000 eV per atom. For the raw formation energy, the calculation gives -11.0 eV per formula unit. The value obtained for the density is 2.4 g cm⁻³.


8.
Here is BiAsIr2Br after structural relaxation from the Alexandria database. Energies are from PBE-GGA.

```
data_BiAsIr2Br
_symmetry_space_group_name_H-M 'P 4/m m m'
_symmetry_Int_Tables_number 123
_symmetry_space_group_name_Hall '-P 4 2'
_cell_length_a 4.623
_cell_length_b 4.623
_cell_length_c 5.690
_cell_angle_alpha 90.00
_cell_angle_beta 90.00
_cell_angle_gamma 90.00
loop_
_atom_site_label
_atom_site_type_symbol
_atom_site_fract_x
_atom_site_fract_y
_atom_site_fract_z
Bi1 Bi 0.000 0.000 0.000
As1 As 0.500 0.500 0.000
Ir1 Ir 0.000 0.500 0.500
Br1 Br 0.000 0.000 0.500
```

Output
As for the total energy: -3.9569 eV/atom. The size of the total moment is 0.03 μB per cell. For the raw formation energy, the calculation gives 8.1 eV per formula unit. The value obtained for the density is 10.2 g cm⁻³.


Q: Among the records above, which one has the lowest density?
A: Na2BO3